1.
A relaxed structure of AgIrOs2, computed with PBE-GGA.

a b c (Å): 2.770 2.770 7.933
angles (deg): 90.00 90.00 90.00
Space group P4mm (No. 99)
One atom of each set of equivalent atoms:
Ag1 0.000 0.000 0.000
Ir1 0.500 0.500 0.269
Os1 0.000 0.000 0.504
Os2 0.500 0.500 0.728

Summary:
Crystal system: tetragonal
E, eV per atom: -8.2088
Energy of formation from the pure elements, kcal/mol of atoms: 7.71
Energy above the most stable polymorph in this dataset, meV/atom: 59
Magnetic moment, μB per formula unit: 0.000



2.
A relaxed structure of LaCr2H8, computed with PBE-GGA.

a b c (Å): 4.651 7.968 4.476
angles (deg): 90.00 90.00 90.00
Space group Amm2 (No. 38)
One atom of each set of equivalent atoms:
La1 0.000 0.000 0.000
Cr1 0.500 0.172 0.480
H1 0.238 0.233 0.752
H2 0.262 0.000 0.502
H3 0.500 0.120 0.093

Summary:
Crystal system: orthorhombic
E, eV per atom: -4.8463
Magnetic moment, μB per formula unit: 3.039



Q: Look up the magnetic moment of the first one.
A: 0.000 μB per formula unit